This record from the Alexandria database describes a geometry-optimized LaPmThMg structure. The functional is PBE.

Summary:
Calculated formation energy: -0.05 eV per atom

The structure in CIF format:
```
data_LaPmThMg
_chemical_formula_sum 'La1 Pm1 Th1 Mg1'
_cell_length_a 3.652
_cell_length_b 3.652
_cell_length_c 9.510
_cell_angle_alpha 90.00
_cell_angle_beta 90.00
_cell_angle_gamma 90.00
_symmetry_space_group_name_H-M 'P 4 m m'
_symmetry_Int_Tables_number 99
_symmetry_space_group_name_Hall 'P 4 -2'
loop_
_atom_site_label
_atom_site_type_symbol
_atom_site_fract_x
_atom_site_fract_y
_atom_site_fract_z
La1 La 0.000 0.000 0.000
Pm1 Pm 0.000 0.000 0.487
Th1 Th 0.500 0.500 0.742
Mg1 Mg 0.500 0.500 0.251
```

This record from the Alexandria database describes a geometry-optimized LaPmMgTl structure. The functional is PBE.

Summary:
Calculated formation energy: -0.27 eV per atom

The structure in CIF format:
```
data_LaPmMgTl
_chemical_formula_sum 'La4 Pm4 Mg4 Tl4'
_cell_length_a 7.844
_cell_length_b 7.844
_cell_length_c 7.844
_cell_angle_alpha 90.00
_cell_angle_beta 90.00
_cell_angle_gamma 90.00
_symmetry_space_group_name_H-M 'F -4 3 m'
_symmetry_Int_Tables_number 216
_symmetry_space_group_name_Hall 'F -4 2 3'
loop_
_atom_site_label
_atom_site_type_symbol
_atom_site_fract_x
_atom_site_fract_y
_atom_site_fract_z
La1 La 0.000 0.000 0.000
Pm1 Pm 0.000 0.000 0.500
Mg1 Mg 0.250 0.250 0.250
Tl1 Tl 0.250 0.250 0.750
```

This record from the Alexandria database describes a geometry-optimized La2Pm5TmMg structure. The functional is PBE.

Summary:
Calculated formation energy: 0.08 eV per atom

The structure in CIF format:
```
data_La2Pm5TmMg
_chemical_formula_sum 'La8 Pm20 Tm4 Mg4'
_cell_length_a 5.590
_cell_length_b 20.223
_cell_length_c 10.772
_cell_angle_alpha 90.00
_cell_angle_beta 90.00
_cell_angle_gamma 90.00
_symmetry_space_group_name_H-M 'C m c 21'
_symmetry_Int_Tables_number 36
_symmetry_space_group_name_Hall 'C 2c -2'
loop_
_atom_site_label
_atom_site_type_symbol
_atom_site_fract_x
_atom_site_fract_y
_atom_site_fract_z
La1 La 0.000 0.116 0.000
La2 La 0.000 0.116 0.419
Pm1 Pm 0.000 0.015 0.709
Pm2 Pm 0.000 0.286 0.013
Pm3 Pm 0.000 0.287 0.406
Pm4 Pm 0.000 0.379 0.709
Pm5 Pm 0.000 0.500 0.459
Tm1 Tm 0.000 0.202 0.710
Mg1 Mg 0.000 0.404 0.208
```

This record from the Alexandria database describes a geometry-optimized La6Pm2TmMg structure. The functional is PBE.

Summary:
Calculated formation energy: 0.09 eV per atom

The structure in CIF format:
```
data_La6Pm2TmMg
_chemical_formula_sum 'La24 Pm8 Tm4 Mg4'
_cell_length_a 10.646
_cell_length_b 13.888
_cell_length_c 9.467
_cell_angle_alpha 90.00
_cell_angle_beta 98.02
_cell_angle_gamma 90.00
_symmetry_space_group_name_H-M 'C 1 2/c 1'
_symmetry_Int_Tables_number 15
_symmetry_space_group_name_Hall '-C 2yc'
loop_
_atom_site_label
_atom_site_type_symbol
_atom_site_fract_x
_atom_site_fract_y
_atom_site_fract_z
La1 La 0.057 0.122 0.100
La2 La 0.086 0.334 0.917
La3 La 0.245 0.287 0.325
Pm1 Pm 0.231 0.467 0.591
Tm1 Tm 0.000 0.432 0.250
Mg1 Mg 0.000 0.095 0.750
```

This record from the Alexandria database describes a geometry-optimized La6Pm2Tm3Mg structure. The functional is PBE.

Summary:
Calculated formation energy: 0.01 eV per atom

The structure in CIF format:
```
data_La6Pm2Tm3Mg
_chemical_formula_sum 'La12 Pm4 Tm6 Mg2'
_cell_length_a 6.292
_cell_length_b 10.904
_cell_length_c 11.902
_cell_angle_alpha 90.00
_cell_angle_beta 100.17
_cell_angle_gamma 90.00
_symmetry_space_group_name_H-M 'C 1 2/m 1'
_symmetry_Int_Tables_number 12
_symmetry_space_group_name_Hall '-C 2y'
loop_
_atom_site_label
_atom_site_type_symbol
_atom_site_fract_x
_atom_site_fract_y
_atom_site_fract_z
La1 La 0.247 0.000 0.247
La2 La 0.249 0.165 0.753
Pm1 Pm 0.000 0.333 0.500
Tm1 Tm 0.000 0.167 0.000
Tm2 Tm 0.000 0.500 0.000
Mg1 Mg 0.000 0.000 0.500
```

This record from the Alexandria database describes a geometry-optimized La2Pm6Tm3Mg structure. The functional is PBE.

Summary:
Calculated formation energy: 0.01 eV per atom

The structure in CIF format:
```
data_La2Pm6Tm3Mg
_chemical_formula_sum 'La4 Pm12 Tm6 Mg2'
_cell_length_a 6.221
_cell_length_b 10.789
_cell_length_c 11.885
_cell_angle_alpha 90.00
_cell_angle_beta 100.18
_cell_angle_gamma 90.00
_symmetry_space_group_name_H-M 'C 1 2/m 1'
_symmetry_Int_Tables_number 12
_symmetry_space_group_name_Hall '-C 2y'
loop_
_atom_site_label
_atom_site_type_symbol
_atom_site_fract_x
_atom_site_fract_y
_atom_site_fract_z
La1 La 0.000 0.167 0.000
Pm1 Pm 0.246 0.500 0.744
Pm2 Pm 0.249 0.335 0.255
Tm1 Tm 0.000 0.000 0.500
Tm2 Tm 0.000 0.334 0.500
Mg1 Mg 0.000 0.500 0.000
```

This record from the Alexandria database describes a geometry-optimized La4Pm2TmMg structure. The functional is PBE.

Summary:
Calculated formation energy: 0.00 eV per atom

The structure in CIF format:
```
data_La4Pm2TmMg
_chemical_formula_sum 'La4 Pm2 Tm1 Mg1'
_cell_length_a 5.152
_cell_length_b 5.152
_cell_length_c 10.175
_cell_angle_alpha 90.00
_cell_angle_beta 90.00
_cell_angle_gamma 90.00
_symmetry_space_group_name_H-M 'P 4/m m m'
_symmetry_Int_Tables_number 123
_symmetry_space_group_name_Hall '-P 4 2'
loop_
_atom_site_label
_atom_site_type_symbol
_atom_site_fract_x
_atom_site_fract_y
_atom_site_fract_z
La1 La 0.000 0.500 0.247
Pm1 Pm 0.000 0.000 0.000
Pm2 Pm 0.500 0.500 0.500
Tm1 Tm 0.000 0.000 0.500
Mg1 Mg 0.500 0.500 0.000
```

This record from the Alexandria database describes a geometry-optimized La2PmTm2Mg5 structure. The functional is PBE.

Summary:
Calculated formation energy: 0.00 eV per atom

The structure in CIF format:
```
data_La2PmTm2Mg5
_chemical_formula_sum 'La4 Pm2 Tm4 Mg10'
_cell_length_a 10.677
_cell_length_b 10.677
_cell_length_c 5.126
_cell_angle_alpha 90.00
_cell_angle_beta 90.00
_cell_angle_gamma 90.00
_symmetry_space_group_name_H-M 'P 4/m b m'
_symmetry_Int_Tables_number 127
_symmetry_space_group_name_Hall '-P 4 2ab'
loop_
_atom_site_label
_atom_site_type_symbol
_atom_site_fract_x
_atom_site_fract_y
_atom_site_fract_z
La1 La 0.176 0.324 0.000
Pm1 Pm 0.000 0.000 0.000
Tm1 Tm 0.119 0.619 0.000
Mg1 Mg 0.000 0.500 0.500
Mg2 Mg 0.073 0.800 0.500
```

This record from the Alexandria database describes a geometry-optimized La6PmTm2Mg structure. The functional is PBE.

Summary:
Calculated formation energy: 0.09 eV per atom

The structure in CIF format:
```
data_La6PmTm2Mg
_chemical_formula_sum 'La24 Pm4 Tm8 Mg4'
_cell_length_a 10.614
_cell_length_b 13.835
_cell_length_c 9.452
_cell_angle_alpha 90.00
_cell_angle_beta 99.24
_cell_angle_gamma 90.00
_symmetry_space_group_name_H-M 'C 1 2/c 1'
_symmetry_Int_Tables_number 15
_symmetry_space_group_name_Hall '-C 2yc'
loop_
_atom_site_label
_atom_site_type_symbol
_atom_site_fract_x
_atom_site_fract_y
_atom_site_fract_z
La1 La 0.060 0.119 0.100
La2 La 0.088 0.333 0.918
La3 La 0.245 0.290 0.329
Pm1 Pm 0.000 0.431 0.250
Tm1 Tm 0.232 0.466 0.596
Mg1 Mg 0.000 0.096 0.750
```

This record from the Alexandria database describes a geometry-optimized LaPm6Y2Mg structure. The functional is PBE.

Summary:
Calculated formation energy: 0.10 eV per atom

The structure in CIF format:
```
data_LaPm6Y2Mg
_chemical_formula_sum 'La4 Pm24 Y8 Mg4'
_cell_length_a 10.373
_cell_length_b 13.789
_cell_length_c 9.569
_cell_angle_alpha 90.00
_cell_angle_beta 101.61
_cell_angle_gamma 90.00
_symmetry_space_group_name_H-M 'C 1 2/c 1'
_symmetry_Int_Tables_number 15
_symmetry_space_group_name_Hall '-C 2yc'
loop_
_atom_site_label
_atom_site_type_symbol
_atom_site_fract_x
_atom_site_fract_y
_atom_site_fract_z
La1 La 0.000 0.069 0.250
Pm1 Pm 0.052 0.380 0.096
Pm2 Pm 0.095 0.173 0.924
Pm3 Pm 0.249 0.215 0.331
Y1 Y 0.236 0.033 0.596
Mg1 Mg 0.000 0.401 0.750
```

This record from the Alexandria database describes a geometry-optimized La3Pm2Y6Mg structure. The functional is PBE.

Summary:
Calculated formation energy: 0.02 eV per atom

The structure in CIF format:
```
data_La3Pm2Y6Mg
_chemical_formula_sum 'La6 Pm4 Y12 Mg2'
_cell_length_a 6.237
_cell_length_b 10.811
_cell_length_c 11.927
_cell_angle_alpha 90.00
_cell_angle_beta 100.09
_cell_angle_gamma 90.00
_symmetry_space_group_name_H-M 'C 1 2/m 1'
_symmetry_Int_Tables_number 12
_symmetry_space_group_name_Hall '-C 2y'
loop_
_atom_site_label
_atom_site_type_symbol
_atom_site_fract_x
_atom_site_fract_y
_atom_site_fract_z
La1 La 0.000 0.000 0.000
La2 La 0.000 0.334 0.000
Pm1 Pm 0.000 0.166 0.500
Y1 Y 0.247 0.335 0.745
Y2 Y 0.249 0.500 0.254
Mg1 Mg 0.000 0.500 0.500
```

This record from the Alexandria database describes a geometry-optimized La4PmY2Mg structure. The functional is PBE.

Summary:
Calculated formation energy: 0.04 eV per atom

The structure in CIF format:
```
data_La4PmY2Mg
_chemical_formula_sum 'La4 Pm1 Y2 Mg1'
_cell_length_a 5.892
_cell_length_b 5.898
_cell_length_c 7.901
_cell_angle_alpha 90.00
_cell_angle_beta 90.00
_cell_angle_gamma 90.00
_symmetry_space_group_name_H-M 'P m m m'
_symmetry_Int_Tables_number 47
_symmetry_space_group_name_Hall '-P 2 2'
loop_
_atom_site_label
_atom_site_type_symbol
_atom_site_fract_x
_atom_site_fract_y
_atom_site_fract_z
La1 La 0.000 0.000 0.234
La2 La 0.500 0.500 0.235
Pm1 Pm 0.000 0.500 0.500
Y1 Y 0.000 0.500 0.000
Y2 Y 0.500 0.000 0.500
Mg1 Mg 0.500 0.000 0.000
```

This record from the Alexandria database describes a geometry-optimized La2Pm5YMg structure. The functional is PBE.

Summary:
Calculated formation energy: 0.08 eV per atom

The structure in CIF format:
```
data_La2Pm5YMg
_chemical_formula_sum 'La8 Pm20 Y4 Mg4'
_cell_length_a 5.606
_cell_length_b 20.179
_cell_length_c 10.871
_cell_angle_alpha 90.00
_cell_angle_beta 90.00
_cell_angle_gamma 90.00
_symmetry_space_group_name_H-M 'C m c m'
_symmetry_Int_Tables_number 63
_symmetry_space_group_name_Hall '-C 2c 2'
loop_
_atom_site_label
_atom_site_type_symbol
_atom_site_fract_x
_atom_site_fract_y
_atom_site_fract_z
La1 La 0.000 0.116 0.042
Pm1 Pm 0.000 0.015 0.750
Pm2 Pm 0.000 0.288 0.052
Pm3 Pm 0.000 0.382 0.750
Pm4 Pm 0.000 0.500 0.000
Y1 Y 0.000 0.203 0.750
Mg1 Mg 0.000 0.405 0.250
```

This record from the Alexandria database describes a geometry-optimized La5Pm2YMg structure. The functional is PBE.

Summary:
Calculated formation energy: 0.22 eV per atom

The structure in CIF format:
```
data_La5Pm2YMg
_chemical_formula_sum 'La10 Pm4 Y2 Mg2'
_cell_length_a 8.760
_cell_length_b 8.760
_cell_length_c 8.378
_cell_angle_alpha 90.00
_cell_angle_beta 90.00
_cell_angle_gamma 90.00
_symmetry_space_group_name_H-M 'P 4/m b m'
_symmetry_Int_Tables_number 127
_symmetry_space_group_name_Hall '-P 4 2ab'
loop_
_atom_site_label
_atom_site_type_symbol
_atom_site_fract_x
_atom_site_fract_y
_atom_site_fract_z
La1 La 0.000 0.000 0.000
La2 La 0.215 0.285 0.285
Pm1 Pm 0.120 0.620 0.000
Y1 Y 0.000 0.500 0.500
Mg1 Mg 0.000 0.000 0.500
```

This record from the Alexandria database describes a geometry-optimized La2Pm2YMg5 structure. The functional is PBE.

Summary:
Calculated formation energy: -0.01 eV per atom

The structure in CIF format:
```
data_La2Pm2YMg5
_chemical_formula_sum 'La4 Pm4 Y2 Mg10'
_cell_length_a 10.713
_cell_length_b 10.713
_cell_length_c 5.156
_cell_angle_alpha 90.00
_cell_angle_beta 90.00
_cell_angle_gamma 90.00
_symmetry_space_group_name_H-M 'P 4/m b m'
_symmetry_Int_Tables_number 127
_symmetry_space_group_name_Hall '-P 4 2ab'
loop_
_atom_site_label
_atom_site_type_symbol
_atom_site_fract_x
_atom_site_fract_y
_atom_site_fract_z
La1 La 0.174 0.326 0.000
Pm1 Pm 0.124 0.624 0.000
Y1 Y 0.000 0.000 0.000
Mg1 Mg 0.000 0.500 0.500
Mg2 Mg 0.073 0.806 0.500
```

This record from the Alexandria database describes a geometry-optimized La2Pm6Y3Mg structure. The functional is PBE.

Summary:
Calculated formation energy: 0.01 eV per atom

The structure in CIF format:
```
data_La2Pm6Y3Mg
_chemical_formula_sum 'La4 Pm12 Y6 Mg2'
_cell_length_a 6.261
_cell_length_b 10.857
_cell_length_c 11.970
_cell_angle_alpha 90.00
_cell_angle_beta 100.16
_cell_angle_gamma 90.00
_symmetry_space_group_name_H-M 'C 1 2/m 1'
_symmetry_Int_Tables_number 12
_symmetry_space_group_name_Hall '-C 2y'
loop_
_atom_site_label
_atom_site_type_symbol
_atom_site_fract_x
_atom_site_fract_y
_atom_site_fract_z
La1 La 0.000 0.167 0.000
Pm1 Pm 0.247 0.500 0.747
Pm2 Pm 0.248 0.335 0.253
Y1 Y 0.000 0.000 0.500
Y2 Y 0.000 0.334 0.500
Mg1 Mg 0.000 0.500 0.000
```

This record from the Alexandria database describes a geometry-optimized La6Pm2YMg structure. The functional is PBE.

Summary:
Calculated formation energy: 0.09 eV per atom

The structure in CIF format:
```
data_La6Pm2YMg
_chemical_formula_sum 'La24 Pm8 Y4 Mg4'
_cell_length_a 10.737
_cell_length_b 13.818
_cell_length_c 9.514
_cell_angle_alpha 90.00
_cell_angle_beta 98.62
_cell_angle_gamma 90.00
_symmetry_space_group_name_H-M 'C 1 2/c 1'
_symmetry_Int_Tables_number 15
_symmetry_space_group_name_Hall '-C 2yc'
loop_
_atom_site_label
_atom_site_type_symbol
_atom_site_fract_x
_atom_site_fract_y
_atom_site_fract_z
La1 La 0.055 0.123 0.099
La2 La 0.088 0.333 0.916
La3 La 0.248 0.287 0.327
Pm1 Pm 0.232 0.467 0.593
Y1 Y 0.000 0.428 0.250
Mg1 Mg 0.000 0.096 0.750
```

This record from the Alexandria database describes a geometry-optimized La4Pm2YMg structure. The functional is PBE.

Summary:
Calculated formation energy: 0.00 eV per atom

The structure in CIF format:
```
data_La4Pm2YMg
_chemical_formula_sum 'La4 Pm2 Y1 Mg1'
_cell_length_a 5.166
_cell_length_b 5.166
_cell_length_c 10.216
_cell_angle_alpha 90.00
_cell_angle_beta 90.00
_cell_angle_gamma 90.00
_symmetry_space_group_name_H-M 'P 4/m m m'
_symmetry_Int_Tables_number 123
_symmetry_space_group_name_Hall '-P 4 2'
loop_
_atom_site_label
_atom_site_type_symbol
_atom_site_fract_x
_atom_site_fract_y
_atom_site_fract_z
La1 La 0.000 0.500 0.246
Pm1 Pm 0.000 0.000 0.000
Pm2 Pm 0.500 0.500 0.500
Y1 Y 0.000 0.000 0.500
Mg1 Mg 0.500 0.500 0.000
```

This record from the Alexandria database describes a geometry-optimized LaPm4Y2Mg structure. The functional is PBE.

Summary:
Calculated formation energy: 0.32 eV per atom

The structure in CIF format:
```
data_LaPm4Y2Mg
_chemical_formula_sum 'La4 Pm16 Y8 Mg4'
_cell_length_a 6.819
_cell_length_b 11.817
_cell_length_c 13.201
_cell_angle_alpha 90.00
_cell_angle_beta 90.00
_cell_angle_gamma 90.00
_symmetry_space_group_name_H-M 'I m m a'
_symmetry_Int_Tables_number 74
_symmetry_space_group_name_Hall '-I 2b 2'
loop_
_atom_site_label
_atom_site_type_symbol
_atom_site_fract_x
_atom_site_fract_y
_atom_site_fract_z
La1 La 0.250 0.250 0.250
Pm1 Pm 0.000 0.004 0.238
Pm2 Pm 0.242 0.250 0.001
Y1 Y 0.000 0.000 0.500
Y2 Y 0.250 0.250 0.750
Mg1 Mg 0.000 0.000 0.000
```